Computed, not measured: crystalline BaSiAg2 at its relaxed geometry at the PBE level of DFT.

abc: 4.674 4.845 5.191
angles: 85.70 90.00 90.00
Fractional positions:
Ag: 0.000 0.952 0.996
Ag: 0.500 0.279 0.050
Ba: 0.000 0.486 0.513
Si: 0.500 0.784 0.941

total magnetic moment = 0.00 μB/cell
calculated total energy = -3.39 eV per atom